SrLiCa2Ir: optimized geometry, GGA-PBE.

a = 5.5239 Å, b = 5.5239 Å, c = 5.3097 Å
α = 90.00°, β = 90.00°, γ = 90.00°
Last column: nearest neighbours and their distance in Å.
Fractional positions:
Sr 0.5000 0.5000 0.5000  8 Ca 3.83, 4 Li 3.91
Ca 0.0000 0.5000 0.0000  2 Ir 2.76
Ca 0.5000 0.0000 0.0000  2 Ir 2.76
Ir 0.0000 0.0000 0.0000  2 Li 2.65, 4 Ca 2.76
Li 0.0000 0.0000 0.5000  2 Ir 2.65

## Properties
Energy above the lowest structure with this stoichiometry, meV per atom: 106
Magnetic moment, μB per formula unit: 0.00
E, eV/atom: -3.31
Formation energy from the elements, eV per atom: -0.019